Record 1
An optimized crystal structure of LaTiC2. Source: the Alexandria database, functional PBE-GGA.

The energy of formation from the pure elements is 0.775 eV/atom. The density of states at the Fermi level is 3.2 states/eV/f.u. The spin magnetization is 0.00 μB/f.u. The energy above the most stable polymorph in this dataset is 283.7 kJ/mol of formula units. Its space-group type is No. 225. The electronic total energy is -28.17 eV per cell.

Cell: 4.2627 4.2627 4.2627 Å, 60.00 60.00 60.00°
Positions (direct):
C1 0.2500 0.2500 0.2500
C2 0.7500 0.7500 0.7500
Ti1 0.0000 0.0000 0.0000
La1 0.5000 0.5000 0.5000



Record 2
An optimized crystal structure of LaTiC2. Source: the Alexandria database, functional PBE-GGA.

The energy of formation from the pure elements is 0.040 eV/atom. The density of states at the Fermi level is 2.6 states/eV/f.u. The spin magnetization is 0.00 μB/f.u. The energy above the most stable polymorph in this dataset is 0.0 kJ/mol of formula units. Its space-group type is No. 166. The electronic total energy is -31.11 eV per cell.

Cell: 3.3721 3.3721 6.1815 Å, 74.17 74.17 60.00°
Positions (direct):
C1 0.2699 0.2699 0.1902
C2 0.7301 0.7301 0.8098
Ti1 0.0000 0.0000 0.0000
La1 0.5000 0.5000 0.5000



Record 3
An optimized crystal structure of LaTiC3. Source: the Alexandria database, functional PBE-GGA.

The energy of formation from the pure elements is 2.512 eV/atom. The density of states at the Fermi level is 3.8 states/eV/f.u. The spin magnetization is 0.00 μB/f.u. The energy above the most stable polymorph in this dataset is 920.4 kJ/mol of formula units. Its space-group type is No. 221. The electronic total energy is -27.94 eV per cell.

Cell: 4.2930 4.2930 4.2930 Å, 90.00 90.00 90.00°
Positions (direct):
C1 0.0000 0.5000 0.0000
C2 0.0000 0.0000 0.5000
C3 0.5000 0.0000 0.0000
Ti1 0.5000 0.5000 0.5000
La1 0.0000 0.0000 0.0000



Record 4
An optimized crystal structure of La2TiC. Source: the Alexandria database, functional PBE-GGA.

The energy of formation from the pure elements is 0.075 eV/atom. The density of states at the Fermi level is 0.9 states/eV/f.u. The spin magnetization is 0.00 μB/f.u. Its space-group type is No. 122. The electronic total energy is -53.34 eV per cell.

Cell: 9.8867 9.8867 7.2934 Å, 47.33 47.33 90.00°
Positions (direct):
C1 0.5000 0.5000 0.0000
C2 0.2500 0.7500 0.5000
Ti1 0.0000 0.0000 0.0000
Ti2 0.7500 0.2500 0.5000
La1 0.4676 0.1250 0.2500
La2 0.2824 0.6250 0.2500
La3 0.3750 0.5324 0.7500
La4 0.8750 0.7176 0.7500



Record 5
An optimized crystal structure of LaY2TiC. Source: the Alexandria database, functional PBE-GGA.

The energy of formation from the pure elements is 1.635 eV/atom. The density of states at the Fermi level is 7.2 states/eV/f.u. The spin magnetization is 0.00 μB/f.u. Its space-group type is No. 123. The electronic total energy is -26.80 eV per cell.

Cell: 5.1809 5.3500 5.1809 Å, 90.00 90.00 90.00°
Positions (direct):
Y1 0.0000 0.0000 0.5000
Y2 0.5000 0.0000 0.0000
C1 0.5000 0.5000 0.5000
Ti1 0.0000 0.0000 0.0000
La1 0.0000 0.5000 0.0000



Record 6
An optimized crystal structure of LaYTiC2. Source: the Alexandria database, functional PBE-GGA.

The energy of formation from the pure elements is 1.266 eV/atom. The density of states at the Fermi level is 5.1 states/eV/f.u. The spin magnetization is 0.00 μB/f.u. Its space-group type is No. 123. The electronic total energy is -31.40 eV per cell.

Cell: 4.3133 4.9031 4.3133 Å, 90.00 90.00 90.00°
Positions (direct):
Y1 0.5000 0.5000 0.5000
C1 0.0000 0.0000 0.5000
C2 0.5000 0.0000 0.0000
Ti1 0.0000 0.0000 0.0000
La1 0.0000 0.5000 0.0000